Entry 1:
Material: DyTm2Ga4Pd
Method: DFT, PBE
State: relaxed

Total magnetization (μB/cell): 0.00
VASP energy (eV/atom): -4.418

Unit cell a=6.526 b=6.961 c=6.961 alpha=32.33 beta=90.00 gamma=90.00
Fractional positions:
Pd (0.500, 0.957, 0.957)
Tm (0.000, 0.770, 0.770)
Ga (0.768, 0.404, 0.404)
Ga (0.310, 0.595, 0.595)
Ga (0.690, 0.595, 0.595)
Tm (0.500, 0.233, 0.233)
Ga (0.232, 0.404, 0.404)
Dy (0.000, 0.042, 0.042)

***

Entry 2:
Material: LiRe3
Method: DFT, PBE
State: relaxed

Total magnetization (μB/cell): 0.00
VASP energy (eV/atom): -9.567

Unit cell a=5.040 b=5.040 c=5.040 alpha=145.12 beta=63.14 gamma=129.16
Fractional positions:
Re (0.157, 0.401, 0.757)
Re (0.644, 0.401, 0.243)
Li (0.897, 0.897, 0.000)
Re (0.398, 0.898, 0.500)